Record 1
PmSmY2Tm | PBE | optimized geometry

Properties
Formation energy = 1.850 eV/f.u.
Spin magnetization = 0.000 μB/atom
DFT total energy = -5.004 eV per atom

Structure (POSCAR):
```
PmSmY2Tm
1.0
3.211 -8.341 0.000
3.211 8.341 0.000
0.000 0.000 6.416
Pm Sm Y Tm
2 2 4 2
direct
0.159 0.841 0.750
0.841 0.159 0.250
0.342 0.658 0.750
0.658 0.342 0.250
0.250 0.250 0.000
0.250 0.250 0.500
0.750 0.750 0.000
0.750 0.750 0.500
0.248 0.752 0.250
0.752 0.248 0.750
```

---

Record 2
Pm6Sm3Y2Tm | PBE | optimized geometry

Properties
Formation energy = 0.163 eV/f.u.
Spin magnetization = 0.000 μB/atom
DFT total energy = -4.991 eV per atom

Structure (POSCAR):
```
Pm6Sm3Y2Tm
1.0
3.139 -5.438 0.000
3.139 5.438 0.000
-2.089 0.000 11.763
Pm Sm Y Tm
6 3 2 1
direct
0.083 0.415 0.748
0.249 0.249 0.252
0.415 0.083 0.748
0.585 0.917 0.252
0.751 0.751 0.748
0.917 0.585 0.252
0.167 0.833 0.000
0.500 0.500 0.000
0.833 0.167 0.000
0.333 0.667 0.500
0.667 0.333 0.500
0.000 0.000 0.500
```

---

Record 3
Pm4Sm2YTm2 | PBE | optimized geometry

Properties
Formation energy = 0.192 eV/f.u.
Spin magnetization = 0.000 μB/atom
DFT total energy = -4.851 eV per atom

Structure (POSCAR):
```
Pm4Sm2YTm2
1.0
7.659 -2.550 0.000
7.659 2.550 0.000
-2.556 0.000 7.618
Pm Sm Y Tm
4 2 1 2
direct
0.055 0.055 0.332
0.278 0.278 0.669
0.722 0.722 0.331
0.945 0.945 0.668
0.388 0.388 0.331
0.612 0.612 0.669
0.500 0.500 0.000
0.168 0.168 0.000
0.832 0.832 0.000
```

---

Record 4
Pm5Sm2YTm | PBE | optimized geometry

Properties
Formation energy = 2.562 eV/f.u.
Spin magnetization = 0.000 μB/atom
DFT total energy = -4.618 eV per atom

Structure (POSCAR):
```
Pm5Sm2YTm
1.0
-4.318 4.318 8.223
4.318 -4.318 8.223
4.318 4.318 -8.223
Pm Sm Y Tm
10 4 2 2
direct
0.000 0.000 0.000
0.073 0.573 0.929
0.144 0.073 0.500
0.356 0.856 0.929
0.427 0.356 0.500
0.500 0.500 0.000
0.573 0.644 0.500
0.644 0.144 0.071
0.856 0.927 0.500
0.927 0.427 0.071
0.120 0.380 0.500
0.380 0.880 0.259
0.620 0.120 0.741
0.880 0.620 0.500
0.250 0.250 0.000
0.750 0.750 0.000
0.250 0.750 0.500
0.750 0.250 0.500
```

---

Record 5
Pm2Sm3YTm6 | PBE | optimized geometry

Properties
Formation energy = 0.228 eV/f.u.
Spin magnetization = 0.000 μB/atom
DFT total energy = -4.727 eV per atom

Structure (POSCAR):
```
Pm2Sm3YTm6
1.0
3.086 -5.344 0.000
3.086 5.344 0.000
-2.050 0.000 11.526
Pm Sm Y Tm
2 3 1 6
direct
0.166 0.834 0.000
0.834 0.166 0.000
0.000 0.000 0.500
0.333 0.667 0.500
0.667 0.333 0.500
0.500 0.500 0.000
0.082 0.416 0.750
0.250 0.250 0.250
0.416 0.082 0.750
0.584 0.918 0.250
0.750 0.750 0.750
0.918 0.584 0.250
```

---

Record 6
Pm2Sm2YTm2 | PBE | optimized geometry

Properties
Formation energy = 0.140 eV/f.u.
Spin magnetization = 0.000 μB/atom
DFT total energy = -4.887 eV per atom

Structure (POSCAR):
```
Pm2Sm2YTm2
1.0
5.675 -2.536 0.000
5.675 2.536 0.000
-1.150 0.000 7.938
Pm Sm Y Tm
2 2 1 2
direct
0.143 0.143 0.429
0.857 0.857 0.571
0.429 0.429 0.282
0.571 0.571 0.718
0.000 0.000 0.000
0.285 0.285 0.859
0.715 0.715 0.141
```

---

Record 7
Pm6SmY3Tm2 | PBE | optimized geometry

Properties
Formation energy = 0.158 eV/f.u.
Spin magnetization = 0.000 μB/atom
DFT total energy = -5.117 eV per atom

Structure (POSCAR):
```
Pm6SmY3Tm2
1.0
3.126 -5.413 0.000
3.126 5.413 0.000
-2.077 0.000 11.674
Pm Sm Y Tm
6 1 3 2
direct
0.082 0.416 0.251
0.250 0.250 0.749
0.416 0.082 0.251
0.584 0.918 0.749
0.750 0.750 0.251
0.918 0.584 0.749
0.500 0.500 0.500
0.000 0.000 0.000
0.333 0.667 0.000
0.667 0.333 0.000
0.167 0.833 0.500
0.833 0.167 0.500
```

---

Record 8
PmSm5YTm2 | PBE | optimized geometry

Properties
Formation energy = 1.404 eV/f.u.
Spin magnetization = 0.000 μB/atom
DFT total energy = -4.706 eV per atom

Structure (POSCAR):
```
PmSm5YTm2
1.0
2.817 -10.151 0.000
2.817 10.151 0.000
0.000 0.000 10.640
Pm Sm Y Tm
2 10 2 4
direct
0.200 0.800 0.500
0.800 0.200 0.000
0.016 0.984 0.510
0.280 0.720 0.798
0.299 0.701 0.195
0.391 0.609 0.514
0.479 0.521 0.229
0.521 0.479 0.729
0.609 0.391 0.014
0.701 0.299 0.695
0.720 0.280 0.298
0.984 0.016 0.010
0.411 0.589 0.943
0.589 0.411 0.443
0.111 0.889 0.226
0.115 0.885 0.805
0.885 0.115 0.305
0.889 0.111 0.726
```

---

Record 9
PmSmYTm3 | PBE | optimized geometry

Properties
Formation energy = 0.698 eV/f.u.
Spin magnetization = 0.000 μB/atom
DFT total energy = -4.775 eV per atom

Structure (POSCAR):
```
PmSmYTm3
1.0
2.907 -5.682 0.000
2.907 5.682 0.000
0.000 0.000 11.626
Pm Sm Y Tm
2 2 2 6
direct
0.007 0.993 0.750
0.993 0.007 0.250
0.500 0.500 0.000
0.500 0.500 0.500
0.325 0.675 0.750
0.675 0.325 0.250
0.172 0.828 0.006
0.172 0.828 0.494
0.333 0.667 0.250
0.667 0.333 0.750
0.828 0.172 0.506
0.828 0.172 0.994
```

---

Record 10
Pm6Sm2Y3Tm | PBE | optimized geometry

Properties
Formation energy = 0.148 eV/f.u.
Spin magnetization = 0.000 μB/atom
DFT total energy = -5.138 eV per atom

Structure (POSCAR):
```
Pm6Sm2Y3Tm
1.0
3.135 -5.429 0.000
3.135 5.429 0.000
-2.084 0.000 11.739
Pm Sm Y Tm
6 2 3 1
direct
0.083 0.416 0.750
0.249 0.249 0.249
0.416 0.083 0.750
0.584 0.917 0.250
0.751 0.751 0.751
0.917 0.584 0.250
0.333 0.667 0.500
0.667 0.333 0.500
0.166 0.834 0.000
0.500 0.500 0.000
0.834 0.166 0.000
0.000 0.000 0.500
```

---

Record 11
Pm2Sm2Y2Tm | PBE | optimized geometry

Properties
Formation energy = 0.876 eV/f.u.
Spin magnetization = 0.000 μB/atom
DFT total energy = -5.066 eV per atom

Structure (POSCAR):
```
Pm2Sm2Y2Tm
1.0
2.858 1.650 8.249
-2.858 1.650 8.249
0.000 -3.300 8.249
Pm Sm Y Tm
2 2 2 1
direct
0.139 0.139 0.139
0.861 0.861 0.861
0.287 0.287 0.287
0.713 0.713 0.713
0.429 0.429 0.429
0.571 0.571 0.571
0.000 0.000 0.000
```

---

Record 12
PmSm4Y2Tm2 | PBE | optimized geometry

Properties
Formation energy = 0.178 eV/f.u.
Spin magnetization = 0.000 μB/atom
DFT total energy = -5.036 eV per atom

Structure (POSCAR):
```
PmSm4Y2Tm2
1.0
7.615 -2.530 0.000
7.615 2.530 0.000
-2.525 0.000 7.615
Pm Sm Y Tm
1 4 2 2
direct
0.000 0.000 0.000
0.222 0.222 0.331
0.445 0.445 0.669
0.555 0.555 0.331
0.778 0.778 0.669
0.112 0.112 0.668
0.888 0.888 0.332
0.332 0.332 0.000
0.668 0.668 0.000
```

---

Record 13
Pm3Sm6Y2Tm | PBE | optimized geometry

Properties
Formation energy = 0.185 eV/f.u.
Spin magnetization = 0.000 μB/atom
DFT total energy = -4.982 eV per atom

Structure (POSCAR):
```
Pm3Sm6Y2Tm
1.0
3.133 -5.426 0.000
3.133 5.426 0.000
-2.086 0.000 11.775
Pm Sm Y Tm
3 6 2 1
direct
0.000 0.000 0.000
0.333 0.667 0.000
0.667 0.333 0.000
0.085 0.417 0.253
0.250 0.250 0.747
0.417 0.085 0.253
0.583 0.915 0.747
0.750 0.750 0.253
0.915 0.583 0.747
0.167 0.833 0.500
0.833 0.167 0.500
0.500 0.500 0.500
```

---

Record 14
Pm2Sm2Y6Tm | PBE | optimized geometry

Properties
Formation energy = 1.499 eV/f.u.
Spin magnetization = 0.000 μB/atom
DFT total energy = -5.518 eV per atom

Structure (POSCAR):
```
Pm2Sm2Y6Tm
1.0
2.852 -6.053 0.000
2.852 6.053 0.000
0.000 0.000 10.563
Pm Sm Y Tm
2 2 6 1
direct
0.131 0.869 0.000
0.869 0.131 0.000
0.209 0.791 0.500
0.791 0.209 0.500
0.000 0.000 0.299
0.000 0.000 0.701
0.349 0.651 0.203
0.349 0.651 0.797
0.651 0.349 0.203
0.651 0.349 0.797
0.500 0.500 0.500
```

---

Record 15
PmSm5Y2Tm | PBE | optimized geometry

Properties
Formation energy = 1.289 eV/f.u.
Spin magnetization = 0.000 μB/atom
DFT total energy = -4.940 eV per atom

Structure (POSCAR):
```
PmSm5Y2Tm
1.0
2.826 -10.130 0.000
2.826 10.130 0.000
0.000 0.000 10.696
Pm Sm Y Tm
2 10 4 2
direct
0.202 0.798 0.500
0.798 0.202 0.000
0.018 0.982 0.514
0.282 0.718 0.798
0.298 0.702 0.195
0.393 0.607 0.515
0.480 0.520 0.233
0.520 0.480 0.733
0.607 0.393 0.015
0.702 0.298 0.695
0.718 0.282 0.298
0.982 0.018 0.014
0.110 0.890 0.227
0.116 0.884 0.809
0.884 0.116 0.309
0.890 0.110 0.727
0.411 0.589 0.950
0.589 0.411 0.450
```

---

Record 16
Pm2SmYTm5 | PBE | optimized geometry

Properties
Formation energy = 2.369 eV/f.u.
Spin magnetization = 0.000 μB/atom
DFT total energy = -4.519 eV per atom

Structure (POSCAR):
```
Pm2SmYTm5
1.0
-4.298 4.298 7.730
4.298 -4.298 7.730
4.298 4.298 -7.730
Pm Sm Y Tm
4 2 2 10
direct
0.117 0.617 0.735
0.383 0.117 0.500
0.617 0.883 0.500
0.883 0.383 0.265
0.250 0.750 0.500
0.750 0.250 0.500
0.250 0.250 0.000
0.750 0.750 0.000
0.000 0.000 0.000
0.071 0.152 0.500
0.152 0.652 0.081
0.348 0.429 0.500
0.429 0.929 0.081
0.500 0.500 0.000
0.571 0.071 0.919
0.652 0.571 0.500
0.848 0.348 0.919
0.929 0.848 0.500
```

---

Record 17
PmSmY2Tm5 | PBE | optimized geometry

Properties
Formation energy = 1.418 eV/f.u.
Spin magnetization = 0.000 μB/atom
DFT total energy = -4.815 eV per atom

Structure (POSCAR):
```
PmSmY2Tm5
1.0
2.793 -9.801 0.000
2.793 9.801 0.000
0.000 0.000 10.603
Pm Sm Y Tm
2 2 4 10
direct
0.082 0.918 0.500
0.918 0.082 0.000
0.297 0.703 0.057
0.703 0.297 0.557
0.387 0.613 0.367
0.391 0.609 0.781
0.609 0.391 0.281
0.613 0.387 0.867
0.022 0.978 0.781
0.107 0.893 0.068
0.201 0.799 0.754
0.216 0.784 0.353
0.481 0.519 0.074
0.519 0.481 0.574
0.784 0.216 0.853
0.799 0.201 0.254
0.893 0.107 0.568
0.978 0.022 0.281
```

---

Record 18
Pm3SmYTm | PBE | optimized geometry

Properties
Formation energy = 0.118 eV/f.u.
Spin magnetization = 0.000 μB/atom
DFT total energy = -4.965 eV per atom

Structure (POSCAR):
```
Pm3SmYTm
1.0
8.061 0.000 0.000
0.000 5.109 0.000
-3.228 0.000 9.668
Pm Sm Y Tm
6 2 2 2
direct
0.167 0.250 0.043
0.169 0.250 0.541
0.169 0.750 0.791
0.831 0.250 0.209
0.831 0.750 0.459
0.833 0.750 0.957
0.499 0.750 0.127
0.501 0.250 0.873
0.170 0.750 0.294
0.830 0.250 0.706
0.499 0.250 0.377
0.501 0.750 0.623
```

---

Record 19
Pm2SmY2Tm | PBE | optimized geometry

Properties
Formation energy = 1.670 eV/f.u.
Spin magnetization = 0.000 μB/atom
DFT total energy = -4.992 eV per atom

Structure (POSCAR):
```
Pm2SmY2Tm
1.0
6.655 0.000 0.000
0.000 17.967 0.000
0.000 0.000 3.389
Pm Sm Y Tm
4 2 4 2
direct
0.234 0.182 0.000
0.266 0.682 0.500
0.734 0.318 0.500
0.766 0.818 0.000
0.000 0.500 0.000
0.500 0.000 0.500
0.231 0.352 0.500
0.269 0.852 0.000
0.731 0.148 0.000
0.769 0.648 0.500
0.000 0.000 0.000
0.500 0.500 0.500
```

---

Record 20
PmSm2Y5Tm | PBE | optimized geometry

Properties
Formation energy = 2.368 eV/f.u.
Spin magnetization = 0.000 μB/atom
DFT total energy = -5.401 eV per atom

Structure (POSCAR):
```
PmSm2Y5Tm
1.0
-4.389 4.389 7.682
4.389 -4.389 7.682
4.389 4.389 -7.682
Pm Sm Y Tm
2 4 10 2
direct
0.250 0.250 0.000
0.750 0.750 0.000
0.116 0.616 0.731
0.384 0.116 0.500
0.616 0.884 0.500
0.884 0.384 0.269
0.000 0.000 0.000
0.072 0.155 0.500
0.155 0.655 0.083
0.345 0.428 0.500
0.428 0.928 0.083
0.500 0.500 0.000
0.572 0.072 0.917
0.655 0.572 0.500
0.845 0.345 0.917
0.928 0.845 0.500
0.250 0.750 0.500
0.750 0.250 0.500
```